Material: Ac6In2Ru
Method: DFT, PBE
State: optimized geometry

Structure (extended XYZ):
```
18
Lattice="-3.056 6.418 -3.140 -1.317 -3.935 -6.759 -10.177 -3.155 3.819" Properties=species:S:1:pos:R:3 pbc="T T T"
Ac -4.952 1.001 -4.208
Ac -6.678 1.200 -8.641
Ac -7.872 -1.871 2.560
Ac -6.690 -2.670 -4.591
Ac -9.598 -1.672 -1.872
Ac -8.823 0.718 -5.179
Ac -1.376 -0.030 -2.510
Ac -13.174 -0.642 -3.571
Ac -5.727 -1.390 -0.902
Ac -2.348 -1.336 -6.245
Ac -12.202 0.664 0.164
Ac -7.860 1.998 -1.490
Ru -2.186 1.242 -4.950
Ru -5.089 -1.578 1.910
In -11.228 2.169 -3.162
In -10.437 -2.697 -5.137
In -4.113 2.026 -0.944
In -3.322 -2.840 -2.919
```

## Properties
As for the space group: P2_1/c. The density is 8.1 g/cm3. The energy above the most stable polymorph in this dataset is 0.00 eV/f.u. The formation energy from the elements comes out at -0.25 eV per atom.

***

Material: ReAsPt2
Method: DFT, PBE
State: optimized geometry

Structure (extended XYZ):
```
4
Lattice="-2.049 -3.467 -2.969 2.310 -0.495 -4.410 1.518 0.084 4.766" Properties=species:S:1:pos:R:3 pbc="T T T"
Pt 0.000 0.000 0.000
Pt 0.131 -1.981 -3.689
Re 1.980 -1.196 -1.666
As -0.200 -2.682 -0.946
```

## Properties
As for the space group: I4/mmm. The density is 17.3 g/cm3. The formation energy from the elements comes out at 0.33 eV per atom.

***

Material: EuErInHg
Method: DFT, PBE
State: optimized geometry

Structure (extended XYZ):
```
4
Lattice="-1.626 1.807 4.819 -3.947 -2.556 2.649 1.130 -2.820 4.461" Properties=species:S:1:pos:R:3 pbc="T T T"
Hg -3.332 -2.677 8.946
Eu 0.000 0.000 0.000
In -1.111 -0.892 2.982
Er -2.222 -1.785 5.964
```

## Properties
As for the space group: F-43m. The density is 9.5 g/cm3. The formation energy from the elements comes out at -0.46 eV per atom.

***

Which of these has the lowest density? Ac6In2Ru

***

What did the second record say?
Material: ReAsPt2
Method: DFT, PBE
State: optimized geometry

Structure (extended XYZ):
```
4
Lattice="-2.049 -3.467 -2.969 2.310 -0.495 -4.410 1.518 0.084 4.766" Properties=species:S:1:pos:R:3 pbc="T T T"
Pt 0.000 0.000 0.000
Pt 0.131 -1.981 -3.689
Re 1.980 -1.196 -1.666
As -0.200 -2.682 -0.946
```

## Properties
As for the space group: I4/mmm. The density is 17.3 g/cm3. The formation energy from the elements comes out at 0.33 eV per atom.

***

Which of these has the highest formation energy from the elements? ReAsPt2

***

Number 3 is which compound? EuErInHg